La2NdErAs4 | PBE-GGA | optimized geometry

Output
As for the spin magnetization: 0.00 Bohr magnetons per cell. For the calculated volume, the calculation gives 221.51 Å³/f.u. The total energy comes out at -50.035 eV per cell.

```
data_La2NdErAs4
_cell_length_a 7.406
_cell_length_b 4.282
_cell_length_c 7.409
_cell_angle_alpha 90.00
_cell_angle_beta 109.47
_cell_angle_gamma 90.00
_space_group_name_H-M_alt 'P 1 2/m 1'
_space_group_IT_number 10
loop_
_space_group_symop_operation_xyz
'x,y,z'
'-x,-y,-z'
'-x,y,-z'
'x,-y,z'
loop_
_atom_site_label
_atom_site_fract_x
_atom_site_fract_y
_atom_site_fract_z
La1 0.000 0.000 0.000
La2 0.000 0.500 0.500
Nd1 0.500 0.000 0.500
Er1 0.500 0.500 0.000
As1 0.258 0.500 0.247
As2 0.262 0.000 0.759
```


La2Nd3ErAs6 | PBE-GGA | optimized geometry

Output
As for the spin magnetization: 0.00 Bohr magnetons per cell. For the calculated volume, the calculation gives 332.33 Å³/f.u. The total energy comes out at -149.702 eV per cell.

```
data_La2Nd3ErAs6
_cell_length_a 18.644
_cell_length_b 4.281
_cell_length_c 8.559
_cell_angle_alpha 90.00
_cell_angle_beta 103.33
_cell_angle_gamma 90.00
_space_group_name_H-M_alt 'C 1 2/m 1'
_space_group_IT_number 12
loop_
_space_group_symop_operation_xyz
'x,y,z'
'-x,-y,-z'
'-x,y,-z'
'x,-y,z'
'x+1/2,y+1/2,z'
'-x+1/2,-y+1/2,-z'
'-x+1/2,y+1/2,-z'
'x+1/2,-y+1/2,z'
loop_
_atom_site_label
_atom_site_fract_x
_atom_site_fract_y
_atom_site_fract_z
La1 0.165 0.000 0.331
Nd1 0.000 0.500 0.500
Nd2 0.167 0.000 0.834
Er1 0.000 0.500 0.000
As1 0.002 0.000 0.759
As2 0.163 0.500 0.078
As3 0.166 0.500 0.586
```


LaErNi2As2 | PBE-GGA | optimized geometry

Output
As for the spin magnetization: 0.00 Bohr magnetons per cell. For the calculated volume, the calculation gives 115.57 Å³/f.u. The total energy comes out at -36.741 eV per cell.

```
data_LaErNi2As2
_cell_length_a 4.1194
_cell_length_b 4.1194
_cell_length_c 7.8637
_cell_angle_alpha 90.00
_cell_angle_beta 90.00
_cell_angle_gamma 120.00
_space_group_name_H-M_alt 'P -3 m 1'
_space_group_IT_number 164
_space_group_name_Hall '-P 3 2"'
loop_
_atom_site_label
_atom_site_fract_x
_atom_site_fract_y
_atom_site_fract_z
La1 0.0000 0.0000 0.0000
Er1 0.0000 0.0000 0.5000
Ni1 0.3333 0.6667 0.7328
As1 0.3333 0.6667 0.2657
```